The following is a DFT calculation (PBE) of crystalline MgScZn2 at its relaxed geometry.

Cell lengths 6.558, 6.558, 6.558 Å; angles 90.00, 90.00, 90.00 degrees
Element x y z (fractional)
Mg1 0.000 0.000 0.000
Mg2 0.000 0.500 0.500
Mg3 0.500 0.000 0.500
Mg4 0.500 0.500 0.000
Sc1 0.250 0.250 0.750
Sc2 0.250 0.750 0.250
Sc3 0.750 0.250 0.250
Sc4 0.750 0.750 0.750
Zn1 0.000 0.000 0.500
Zn2 0.000 0.500 0.000
Zn3 0.250 0.250 0.250
Zn4 0.250 0.750 0.750
Zn5 0.500 0.000 0.000
Zn6 0.500 0.500 0.500
Zn7 0.750 0.250 0.750
Zn8 0.750 0.750 0.250

**Total energy**: -2.76 eV per atom
**Density of states at the Fermi level**: 8.0 states/eV per cell
**Total moment**: 0.00 μB per formula unit
**Symmetry**: No. 216
**Formation energy**: -141 meV/atom